1.
# KFeAu4, relaxed, DFT PBEsol
data_KFeAu4
_cell_length_a 5.4894
_cell_length_b 5.4894
_cell_length_c 5.4894
_cell_angle_alpha 60.00
_cell_angle_beta 60.00
_cell_angle_gamma 60.00
_symmetry_space_group_name_H-M 'P 1'
_symmetry_Int_Tables_number 1
loop_
_symmetry_equiv_pos_as_xyz
'x,y,z'
loop_
_atom_site_label
_atom_site_type_symbol
_atom_site_fract_x
_atom_site_fract_y
_atom_site_fract_z
Au1 Au 0.3754 0.3754 0.3754
Au2 Au 0.3754 0.3754 0.8739
Au3 Au 0.8739 0.3754 0.3754
Au4 Au 0.3754 0.8739 0.3754
Fe1 Fe 0.7500 0.7500 0.7500
K1 K 0.0000 0.0000 0.0000
# **ρ**: 12.533 g/cm³
# **ΔH_f (0 K)**: 6.6 kcal/mol of atoms
# **Energy**: -4.01 eV/atom


2.
# KFeAu, relaxed, DFT PBEsol
data_KFeAu
_cell_length_a 2.7881
_cell_length_b 4.2234
_cell_length_c 6.3579
_cell_angle_alpha 109.40
_cell_angle_beta 102.67
_cell_angle_gamma 90.00
_symmetry_space_group_name_H-M 'P 1'
_symmetry_Int_Tables_number 1
loop_
_symmetry_equiv_pos_as_xyz
'x,y,z'
loop_
_atom_site_label
_atom_site_type_symbol
_atom_site_fract_x
_atom_site_fract_y
_atom_site_fract_z
Au1 Au 0.0605 0.0605 0.1210
Fe1 Fe 0.6031 0.6031 0.2062
K1 K 0.3364 0.3364 0.6728
# **ρ**: 7.058 g/cm³
# **ΔH_f (0 K)**: 10.4 kcal/mol of atoms
# **Energy**: -4.22 eV/atom


3.
# KFeAu, relaxed, DFT PBEsol
data_KFeAu
_cell_length_a 3.4925
_cell_length_b 3.4925
_cell_length_c 6.4128
_cell_angle_alpha 105.80
_cell_angle_beta 105.80
_cell_angle_gamma 90.00
_symmetry_space_group_name_H-M 'P 1'
_symmetry_Int_Tables_number 1
loop_
_symmetry_equiv_pos_as_xyz
'x,y,z'
loop_
_atom_site_label
_atom_site_type_symbol
_atom_site_fract_x
_atom_site_fract_y
_atom_site_fract_z
Au1 Au 0.9414 0.9414 0.8828
Fe1 Fe 0.3958 0.3958 0.7917
K1 K 0.6628 0.6628 0.3255
# **ρ**: 6.715 g/cm³
# **ΔH_f (0 K)**: 11.6 kcal/mol of atoms
# **Energy**: -4.17 eV/atom


4.
# KFe3Au, relaxed, DFT PBEsol
data_KFe3Au
_cell_length_a 4.8499
_cell_length_b 4.8499
_cell_length_c 4.8499
_cell_angle_alpha 90.00
_cell_angle_beta 90.00
_cell_angle_gamma 90.00
_symmetry_space_group_name_H-M 'P 1'
_symmetry_Int_Tables_number 1
loop_
_symmetry_equiv_pos_as_xyz
'x,y,z'
loop_
_atom_site_label
_atom_site_type_symbol
_atom_site_fract_x
_atom_site_fract_y
_atom_site_fract_z
K1 K 0.5000 0.5000 0.5000
Au1 Au 0.0000 0.0000 0.0000
Fe1 Fe 0.0000 0.5000 0.0000
Fe2 Fe 0.0000 0.0000 0.5000
Fe3 Fe 0.5000 0.0000 0.0000
# **ρ**: 5.875 g/cm³
# **ΔH_f (0 K)**: 29.9 kcal/mol of atoms
# **Energy**: -5.09 eV/atom


5.
# KFeAu2, relaxed, DFT PBEsol
data_KFeAu2
_cell_length_a 2.7823
_cell_length_b 4.8458
_cell_length_c 6.6420
_cell_angle_alpha 94.92
_cell_angle_beta 90.00
_cell_angle_gamma 106.68
_symmetry_space_group_name_H-M 'P 1'
_symmetry_Int_Tables_number 1
loop_
_symmetry_equiv_pos_as_xyz
'x,y,z'
loop_
_atom_site_label
_atom_site_type_symbol
_atom_site_fract_x
_atom_site_fract_y
_atom_site_fract_z
Au1 Au 0.9868 0.9737 0.9400
Au2 Au 0.2510 0.5020 0.7076
Fe1 Fe 0.5172 0.0343 0.6120
K1 K 0.7450 0.4900 0.2405
# **ρ**: 9.502 g/cm³
# **ΔH_f (0 K)**: 8.0 kcal/mol of atoms
# **Energy**: -4.14 eV/atom


6.
# LaFeAu, relaxed, DFT PBEsol
data_LaFeAu
_cell_length_a 3.4277
_cell_length_b 3.4277
_cell_length_c 5.7739
_cell_angle_alpha 107.27
_cell_angle_beta 107.27
_cell_angle_gamma 90.00
_symmetry_space_group_name_H-M 'P 1'
_symmetry_Int_Tables_number 1
loop_
_symmetry_equiv_pos_as_xyz
'x,y,z'
loop_
_atom_site_label
_atom_site_type_symbol
_atom_site_fract_x
_atom_site_fract_y
_atom_site_fract_z
Au1 Au 0.9670 0.9670 0.9339
Fe1 Fe 0.3638 0.3638 0.7277
La1 La 0.6692 0.6692 0.3384
# **ρ**: 10.564 g/cm³
# **ΔH_f (0 K)**: 0.1 kcal/mol of atoms
# **Energy**: -6.07 eV/atom


7.
# LaFe2Au, relaxed, DFT PBEsol
data_LaFe2Au
_cell_length_a 4.7142
_cell_length_b 4.7142
_cell_length_c 4.7142
_cell_angle_alpha 60.00
_cell_angle_beta 60.00
_cell_angle_gamma 60.00
_symmetry_space_group_name_H-M 'P 1'
_symmetry_Int_Tables_number 1
loop_
_symmetry_equiv_pos_as_xyz
'x,y,z'
loop_
_atom_site_label
_atom_site_type_symbol
_atom_site_fract_x
_atom_site_fract_y
_atom_site_fract_z
Au1 Au 0.5000 0.5000 0.5000
Fe1 Fe 0.0000 0.0000 0.0000
Fe2 Fe 0.2500 0.2500 0.2500
La1 La 0.7500 0.7500 0.7500
# **ρ**: 10.032 g/cm³
# **ΔH_f (0 K)**: 7.1 kcal/mol of atoms
# **Energy**: -6.49 eV/atom


8.
# LaFeAu2, relaxed, DFT PBEsol
data_LaFeAu2
_cell_length_a 3.4670
_cell_length_b 3.4670
_cell_length_c 6.6204
_cell_angle_alpha 90.00
_cell_angle_beta 90.00
_cell_angle_gamma 90.00
_symmetry_space_group_name_H-M 'P 1'
_symmetry_Int_Tables_number 1
loop_
_symmetry_equiv_pos_as_xyz
'x,y,z'
loop_
_atom_site_label
_atom_site_type_symbol
_atom_site_fract_x
_atom_site_fract_y
_atom_site_fract_z
Au1 Au 0.0000 0.0000 0.0382
Au2 Au 0.5000 0.5000 0.2750
Fe1 Fe 0.0000 0.0000 0.4373
La1 La 0.5000 0.5000 0.7494
# **ρ**: 12.284 g/cm³
# **ΔH_f (0 K)**: -1.8 kcal/mol of atoms
# **Energy**: -5.62 eV/atom


9.
# La3FeAu, relaxed, DFT PBEsol
data_La3FeAu
_cell_length_a 5.6746
_cell_length_b 5.6746
_cell_length_c 5.6746
_cell_angle_alpha 90.00
_cell_angle_beta 90.00
_cell_angle_gamma 90.00
_symmetry_space_group_name_H-M 'P 1'
_symmetry_Int_Tables_number 1
loop_
_symmetry_equiv_pos_as_xyz
'x,y,z'
loop_
_atom_site_label
_atom_site_type_symbol
_atom_site_fract_x
_atom_site_fract_y
_atom_site_fract_z
Au1 Au 0.0000 0.0000 0.0000
Fe1 Fe 0.5000 0.5000 0.5000
La1 La 0.0000 0.5000 0.0000
La2 La 0.0000 0.0000 0.5000
La3 La 0.5000 0.0000 0.0000
# **ρ**: 6.084 g/cm³
# **ΔH_f (0 K)**: 14.6 kcal/mol of atoms
# **Energy**: -5.15 eV/atom


10.
# LaFe2Au, relaxed, DFT PBEsol
data_LaFe2Au
_cell_length_a 4.2210
_cell_length_b 4.2210
_cell_length_c 4.8727
_cell_angle_alpha 115.67
_cell_angle_beta 115.67
_cell_angle_gamma 90.00
_symmetry_space_group_name_H-M 'P 1'
_symmetry_Int_Tables_number 1
loop_
_symmetry_equiv_pos_as_xyz
'x,y,z'
loop_
_atom_site_label
_atom_site_type_symbol
_atom_site_fract_x
_atom_site_fract_y
_atom_site_fract_z
Au1 Au 0.0000 0.0000 0.0000
Fe1 Fe 0.7500 0.2500 0.5000
Fe2 Fe 0.2500 0.7500 0.5000
La1 La 0.5000 0.5000 0.0000
# **ρ**: 10.830 g/cm³
# **ΔH_f (0 K)**: 6.5 kcal/mol of atoms
# **Energy**: -6.52 eV/atom


11.
# LaFeAu2, relaxed, DFT PBEsol
data_LaFeAu2
_cell_length_a 4.2800
_cell_length_b 4.2800
_cell_length_c 5.2283
_cell_angle_alpha 114.16
_cell_angle_beta 114.16
_cell_angle_gamma 90.00
_symmetry_space_group_name_H-M 'P 1'
_symmetry_Int_Tables_number 1
loop_
_symmetry_equiv_pos_as_xyz
'x,y,z'
loop_
_atom_site_label
_atom_site_type_symbol
_atom_site_fract_x
_atom_site_fract_y
_atom_site_fract_z
Au1 Au 0.0000 0.0000 0.0000
Au2 Au 0.7500 0.2500 0.5000
Fe1 Fe 0.5000 0.5000 0.0000
La1 La 0.2500 0.7500 0.5000
# **ρ**: 12.517 g/cm³
# **ΔH_f (0 K)**: -1.7 kcal/mol of atoms
# **Energy**: -5.62 eV/atom


12.
# LaFe2Au, relaxed, DFT PBEsol
data_LaFe2Au
_cell_length_a 3.7412
_cell_length_b 4.2359
_cell_length_c 4.2359
_cell_angle_alpha 90.00
_cell_angle_beta 90.00
_cell_angle_gamma 90.00
_symmetry_space_group_name_H-M 'P 1'
_symmetry_Int_Tables_number 1
loop_
_symmetry_equiv_pos_as_xyz
'x,y,z'
loop_
_atom_site_label
_atom_site_type_symbol
_atom_site_fract_x
_atom_site_fract_y
_atom_site_fract_z
Au1 Au 0.5000 0.0000 0.0000
Fe1 Fe 0.0000 0.0000 0.5000
Fe2 Fe 0.0000 0.5000 0.0000
La1 La 0.5000 0.5000 0.5000
# **ρ**: 11.072 g/cm³
# **ΔH_f (0 K)**: 6.1 kcal/mol of atoms
# **Energy**: -6.54 eV/atom


13.
# La2Fe2Au, relaxed, DFT PBEsol
data_La2Fe2Au
_cell_length_a 3.4559
_cell_length_b 3.4559
_cell_length_c 9.1555
_cell_angle_alpha 100.88
_cell_angle_beta 100.88
_cell_angle_gamma 90.00
_symmetry_space_group_name_H-M 'P 1'
_symmetry_Int_Tables_number 1
loop_
_symmetry_equiv_pos_as_xyz
'x,y,z'
loop_
_atom_site_label
_atom_site_type_symbol
_atom_site_fract_x
_atom_site_fract_y
_atom_site_fract_z
Au1 Au 0.0000 0.0000 0.0000
Fe1 Fe 0.2500 0.7500 0.5000
Fe2 Fe 0.7500 0.2500 0.5000
La1 La 0.6159 0.6159 0.2318
La2 La 0.3841 0.3841 0.7682
# **ρ**: 9.241 g/cm³
# **ΔH_f (0 K)**: -0.4 kcal/mol of atoms
# **Energy**: -6.53 eV/atom


14.
# NaLaFeAu2, relaxed, DFT PBEsol
data_NaLaFeAu2
_cell_length_a 4.6669
_cell_length_b 4.9051
_cell_length_c 4.9051
_cell_angle_alpha 90.00
_cell_angle_beta 90.00
_cell_angle_gamma 90.00
_symmetry_space_group_name_H-M 'P 1'
_symmetry_Int_Tables_number 1
loop_
_symmetry_equiv_pos_as_xyz
'x,y,z'
loop_
_atom_site_label
_atom_site_type_symbol
_atom_site_fract_x
_atom_site_fract_y
_atom_site_fract_z
Na1 Na 0.0000 0.0000 0.0000
Au1 Au 0.0000 0.0000 0.5000
Au2 Au 0.0000 0.5000 0.0000
Fe1 Fe 0.5000 0.0000 0.0000
La1 La 0.5000 0.5000 0.5000
# **ρ**: 9.046 g/cm³
# **ΔH_f (0 K)**: 14.0 kcal/mol of atoms
# **Energy**: -4.11 eV/atom


15.
# LiFeAu3, relaxed, DFT PBEsol
data_LiFeAu3
_cell_length_a 4.7787
_cell_length_b 4.7787
_cell_length_c 4.7787
_cell_angle_alpha 90.00
_cell_angle_beta 90.00
_cell_angle_gamma 90.00
_symmetry_space_group_name_H-M 'P 1'
_symmetry_Int_Tables_number 1
loop_
_symmetry_equiv_pos_as_xyz
'x,y,z'
loop_
_atom_site_label
_atom_site_type_symbol
_atom_site_fract_x
_atom_site_fract_y
_atom_site_fract_z
Au1 Au 0.0000 0.5000 0.0000
Au2 Au 0.0000 0.0000 0.5000
Au3 Au 0.5000 0.0000 0.0000
Fe1 Fe 0.0000 0.0000 0.0000
Li1 Li 0.5000 0.5000 0.5000
# **ρ**: 9.947 g/cm³
# **ΔH_f (0 K)**: 11.6 kcal/mol of atoms
# **Energy**: -4.04 eV/atom